# PBE-GGA Be2CuCl, optimized geometry
# - theoretical density (kg/m³) = 2992
# - distance to the lowest polymorph of the same formula (meV per atom) = 6
# - ΔE_f (raw) (eV per atom) = 0.038
# - N(E_F) (states/eV per cell) = 2.6
data_Be2CuCl
_chemical_formula_sum 'Be4 Cu2 Cl2'
_symmetry_space_group_name_H-M 'C 1 m 1'
_symmetry_Int_Tables_number 8
_symmetry_space_group_name_Hall 'C -2y'
_cell_length_a 6.456
_cell_length_b 3.767
_cell_length_c 5.773
_cell_angle_alpha 90.00
_cell_angle_beta 112.31
_cell_angle_gamma 90.00
loop_
_atom_site_label
_atom_site_type_symbol
_atom_site_fract_x
_atom_site_fract_y
_atom_site_fract_z
Be1 Be 0.000 0.000 0.000
Be2 Be 0.131 0.500 0.898
Cu1 Cu 0.363 0.000 0.085
Cl1 Cl 0.012 0.500 0.532

# PBE-GGA BeCu2Cl, optimized geometry
# - theoretical density (kg/m³) = 4103
# - distance to the lowest polymorph of the same formula (meV per atom) = 8
# - ΔE_f (raw) (eV per atom) = -0.025
# - N(E_F) (states/eV per cell) = 0.8
data_BeCu2Cl
_chemical_formula_sum 'Be2 Cu4 Cl2'
_symmetry_space_group_name_H-M 'C 1 m 1'
_symmetry_Int_Tables_number 8
_symmetry_space_group_name_Hall 'C -2y'
_cell_length_a 7.862
_cell_length_b 3.092
_cell_length_c 6.654
_cell_angle_alpha 90.00
_cell_angle_beta 120.85
_cell_angle_gamma 90.00
loop_
_atom_site_label
_atom_site_type_symbol
_atom_site_fract_x
_atom_site_fract_y
_atom_site_fract_z
Be1 Be 0.000 0.000 0.000
Cu1 Cu 0.163 0.500 0.884
Cu2 Cu 0.309 0.000 0.728
Cl1 Cl 0.196 0.000 0.331

# PBE-GGA Be2CuCl, optimized geometry
# - theoretical density (kg/m³) = 2855
# - distance to the lowest polymorph of the same formula (meV per atom) = 0
# - ΔE_f (raw) (eV per atom) = 0.032
# - N(E_F) (states/eV per cell) = 0.9
data_Be2CuCl
_chemical_formula_sum 'Be2 Cu1 Cl1'
_symmetry_space_group_name_H-M 'P 1 m 1'
_symmetry_Int_Tables_number 6
_symmetry_space_group_name_Hall 'P -2y'
_cell_length_a 3.084
_cell_length_b 2.912
_cell_length_c 7.636
_cell_angle_alpha 90.00
_cell_angle_beta 97.15
_cell_angle_gamma 90.00
loop_
_atom_site_label
_atom_site_type_symbol
_atom_site_fract_x
_atom_site_fract_y
_atom_site_fract_z
Be1 Be 0.000 0.000 0.000
Be2 Be 0.438 0.500 0.803
Cu1 Cu 0.530 0.500 0.096
Cl1 Cl 0.382 0.000 0.624

# PBE-GGA BeCu2Cl, optimized geometry
# - theoretical density (kg/m³) = 4664
# - distance to the lowest polymorph of the same formula (meV per atom) = 370
# - ΔE_f (raw) (eV per atom) = 0.337
# - N(E_F) (states/eV per cell) = 1.8
data_BeCu2Cl
_chemical_formula_sum 'Be2 Cu4 Cl2'
_symmetry_space_group_name_H-M 'I m m m'
_symmetry_Int_Tables_number 71
_symmetry_space_group_name_Hall '-I 2 2'
_cell_length_a 2.797
_cell_length_b 5.712
_cell_length_c 7.645
_cell_angle_alpha 90.00
_cell_angle_beta 90.00
_cell_angle_gamma 90.00
loop_
_atom_site_label
_atom_site_type_symbol
_atom_site_fract_x
_atom_site_fract_y
_atom_site_fract_z
Be1 Be 0.000 0.000 0.000
Cu1 Cu 0.000 0.500 0.265
Cl1 Cl 0.000 0.000 0.500

# PBE-GGA BeCu2Cl, optimized geometry
# - theoretical density (kg/m³) = 5018
# - distance to the lowest polymorph of the same formula (meV per atom) = 769
# - ΔE_f (raw) (eV per atom) = 0.736
# - N(E_F) (states/eV per cell) = 7.0
data_BeCu2Cl
_chemical_formula_sum 'Be4 Cu8 Cl4'
_symmetry_space_group_name_H-M 'F -4 3 m'
_symmetry_Int_Tables_number 216
_symmetry_space_group_name_Hall 'F -4 2 3'
_cell_length_a 6.101
_cell_length_b 6.101
_cell_length_c 6.101
_cell_angle_alpha 90.00
_cell_angle_beta 90.00
_cell_angle_gamma 90.00
loop_
_atom_site_label
_atom_site_type_symbol
_atom_site_fract_x
_atom_site_fract_y
_atom_site_fract_z
Be1 Be 0.000 0.000 0.000
Cu1 Cu 0.000 0.000 0.500
Cu2 Cu 0.250 0.250 0.250
Cl1 Cl 0.250 0.250 0.750

# PBE-GGA BeCuCl3, optimized geometry
# - theoretical density (kg/m³) = 2948
# - distance to the lowest polymorph of the same formula (meV per atom) = 540
# - ΔE_f (raw) (eV per atom) = 0.189
# - N(E_F) (states/eV per cell) = 2.5
data_BeCuCl3
_chemical_formula_sum 'Be1 Cu1 Cl3'
_symmetry_space_group_name_H-M 'P m -3 m'
_symmetry_Int_Tables_number 221
_symmetry_space_group_name_Hall '-P 4 2 3'
_cell_length_a 4.654
_cell_length_b 4.654
_cell_length_c 4.654
_cell_angle_alpha 90.00
_cell_angle_beta 90.00
_cell_angle_gamma 90.00
loop_
_atom_site_label
_atom_site_type_symbol
_atom_site_fract_x
_atom_site_fract_y
_atom_site_fract_z
Be1 Be 0.000 0.000 0.000
Cu1 Cu 0.500 0.500 0.500
Cl1 Cl 0.000 0.500 0.500